[1]
Below is a relaxed structure of BeBF2, with properties calculated at the GGA-PBE level.

Lattice parameters (Å, degrees): 2.4251 2.4251 26.8387 90.00 90.00 120.00
Space group R-3m (No. 166, hexagonal axes)
Unique sites:
1 Be 0.0000 0.0000 0.0000
2 B 0.0000 0.0000 0.5000
3 F 0.0000 0.0000 0.3685

Summary:
For the density of states at the Fermi level, the calculation gives 1.610 states/eV per cell. The value obtained for the relative energy among the computed polymorphs is 0.0 meV per atom. Its uncorrected formation energy is -1.302 eV per atom. For the density, the calculation gives 2.1 g/cm3.



[2]
Below is a relaxed structure of BeBF2, with properties calculated at the GGA-PBE level.

Lattice parameters (Å, degrees): 2.7525 2.7525 25.0620 90.00 90.00 120.00
Space group R-3m (No. 166, hexagonal axes)
Unique sites:
1 Be 0.0000 0.0000 0.0000
2 B 0.0000 0.0000 0.5000
3 F 0.0000 0.0000 0.0551

Summary:
For the density of states at the Fermi level, the calculation gives 2.422 states/eV per cell. The value obtained for the relative energy among the computed polymorphs is 675.1 meV per atom. Its uncorrected formation energy is -0.627 eV per atom. For the density, the calculation gives 1.8 g/cm3.



[3]
Below is a relaxed structure of BeBF, with properties calculated at the GGA-PBE level.

Lattice parameters (Å, degrees): 5.0725 2.9289 7.1945 90.00 103.40 90.00
Space group Cm (No. 8)
Unique sites:
1 Be 0.0000 0.0000 0.0000
2 Be 0.0119 0.5000 0.5640
3 B 0.1143 0.5000 0.8427
4 B 0.2815 0.0000 0.8389
5 F 0.0673 0.0000 0.2060
6 F 0.3278 0.5000 0.4941

Summary:
For the density of states at the Fermi level, the calculation gives 0.150 states/eV per cell. The value obtained for the relative energy among the computed polymorphs is 61.7 meV per atom. Its uncorrected formation energy is -1.327 eV per atom. For the density, the calculation gives 2.5 g/cm3.



[4]
Below is a relaxed structure of BeB2F, with properties calculated at the GGA-PBE level.

Lattice parameters (Å, degrees): 5.2547 5.2547 5.2547 90.00 90.00 90.00
Space group Fm-3m (No. 225)
Unique sites:
1 Be 0.0000 0.0000 0.0000
2 B 0.2500 0.2500 0.2500
3 F 0.0000 0.0000 0.5000

Summary:
For the density of states at the Fermi level, the calculation gives 17.665 states/eV per cell. The value obtained for the relative energy among the computed polymorphs is 435.7 meV per atom. Its uncorrected formation energy is 1.409 eV per atom. For the density, the calculation gives 2.3 g/cm3.



[5]
Below is a relaxed structure of BeBF, with properties calculated at the GGA-PBE level.

Lattice parameters (Å, degrees): 2.9978 2.9978 19.4505 90.00 90.00 120.00
Space group R3m (No. 160, hexagonal axes)
Unique sites:
1 Be 0.0000 0.0000 0.0000
2 Be 0.0000 0.0000 0.1642
3 B 0.0000 0.0000 0.5464
4 B 0.0000 0.0000 0.8802
5 F 0.0000 0.0000 0.0834
6 F 0.0000 0.0000 0.3333

Summary:
The value obtained for the relative energy among the computed polymorphs is 0.0 meV per atom. Its uncorrected formation energy is -1.388 eV per atom. For the density, the calculation gives 2.6 g/cm3.



[6]
Below is a relaxed structure of Be3BF, with properties calculated at the GGA-PBE level.

Lattice parameters (Å, degrees): 3.4802 3.4802 3.4802 90.00 90.00 90.00
Space group Pm-3m (No. 221)
Unique sites:
1 Be 0.0000 0.0000 0.5000
2 B 0.5000 0.5000 0.5000
3 F 0.0000 0.0000 0.0000

Summary:
For the density of states at the Fermi level, the calculation gives 0.440 states/eV per cell. The value obtained for the relative energy among the computed polymorphs is 790.1 meV per atom. Its uncorrected formation energy is 0.435 eV per atom. For the density, the calculation gives 2.2 g/cm3.